Entry 1:
{"formula": "ErUTc2", "functional": "PBE-GGA", "state": "optimized geometry", "total_energy_ev_per_atom": -9.133, "ef_ev_per_atom": 0.012, "de_polymorph_mev_per_atom": 198, "sg": "R-3m (166)", "lattice": [[3.366, 0.000, 0.000], [1.683, 2.915, 0.000], [1.683, 0.972, 8.234]], "species": ["Tc", "Tc", "Er", "U"], "fractional_positions": [[0.737, 0.737, 0.789], [0.263, 0.263, 0.211], [0.500, 0.500, 0.500], [0.000, 0.000, 0.000]]}

***

Entry 2:
{"formula": "Rb2PtAuI6", "functional": "PBE-GGA", "state": "optimized geometry", "total_energy_ev_per_atom": -2.690, "de_polymorph_mev_per_atom": 5, "formation_energy_uncorrected_ev_per_atom": -0.63, "sg": "I4/mmm (139)", "lattice": [[8.015, 0.000, 0.000], [0.000, 8.015, 0.000], [4.008, 4.008, 6.009]], "species": ["Au", "I", "I", "I", "I", "I", "I", "Pt", "Rb", "Rb"], "fractional_positions": [[0.000, 0.000, 0.000], [0.252, 0.748, 0.000], [0.748, 0.252, 0.000], [0.252, 0.252, 0.000], [0.275, 0.275, 0.450], [0.748, 0.748, 0.000], [0.725, 0.725, 0.550], [0.500, 0.500, 0.000], [0.750, 0.250, 0.500], [0.250, 0.750, 0.500]]}

***

Question: What is the formula in the first record?
Answer: ErUTc2